1.
{
  "formula": "Ba2BeAg2",
  "functional": "PBE",
  "state": "relaxed",
  "lattice": [[-1.432, -3.354, 1.637], [-1.383, -1.152, -3.569], [6.949, -6.701, -2.768]],
  "species": ["Be", "Ba", "Ba", "Ag", "Ag"],
  "fractional_positions": [[0.000, 0.000, 0.000], [0.400, 0.400, 0.200], [0.600, 0.600, 0.800], [0.750, 0.250, 0.500], [0.250, 0.750, 0.500]],
  "volume_a3_per_cell": 154,
  "relative_energy_mev_per_atom": 32.6,
  "energy_ev_per_fu": -12.21,
  "formation_energy_kj_per_mol_atoms": 20.5,
  "crystal_system": "tetragonal"
}

=====

2.
{
  "formula": "Re3Se4",
  "functional": "PBE",
  "state": "relaxed",
  "lattice": [[2.628, 4.622, 1.052], [-4.108, -0.037, -3.535], [-3.171, 0.966, 3.675]],
  "species": ["Re", "Re", "Re", "Se", "Se", "Se", "Se"],
  "fractional_positions": [[0.000, 0.500, 0.000], [0.500, 0.500, 0.000], [0.500, 0.000, 0.000], [0.000, 0.000, 0.236], [0.000, 0.000, 0.764], [0.667, 0.333, 0.500], [0.333, 0.667, 0.500]],
  "volume_a3_per_cell": 126,
  "energy_ev_per_fu": -43.72,
  "crystal_system": "hexagonal"
}

=====

3.
{
  "formula": "Ce3NdPa4N12",
  "functional": "PBE",
  "state": "relaxed",
  "lattice": [[7.424, 0.000, 0.000], [-2.475, 6.999, 0.000], [-2.475, -3.500, 6.061]],
  "species": ["Ce", "Ce", "Ce", "Nd", "Pa", "Pa", "Pa", "Pa", "N", "N", "N", "N", "N", "N", "N", "N", "N", "N", "N", "N"],
  "fractional_positions": [[0.000, 0.500, 0.500], [0.500, 0.500, 0.000], [0.500, 0.000, 0.500], [0.000, 0.000, 0.000], [0.500, 0.000, 0.000], [0.500, 0.500, 0.500], [0.000, 0.500, 0.000], [0.000, 0.000, 0.500], [0.303, 0.816, 0.119], [0.697, 0.184, 0.881], [0.697, 0.816, 0.513], [0.881, 0.697, 0.184], [0.816, 0.119, 0.303], [0.184, 0.487, 0.303], [0.487, 0.303, 0.184], [0.184, 0.881, 0.697], [0.303, 0.184, 0.487], [0.119, 0.303, 0.816], [0.816, 0.513, 0.697], [0.513, 0.697, 0.816]],
  "volume_a3_per_cell": 315,
  "energy_ev_per_fu": -188.05,
  "crystal_system": "cubic"
}

=====

4.
{
  "formula": "AcSmScHg",
  "functional": "PBE",
  "state": "relaxed",
  "lattice": [[-5.195, 1.613, -0.736], [-3.698, -0.749, 3.987], [-1.954, 4.313, 2.776]],
  "species": ["Sc", "Ac", "Hg", "Sm"],
  "fractional_positions": [[0.000, 0.000, 0.000], [0.750, 0.750, 0.750], [0.250, 0.250, 0.250], [0.500, 0.500, 0.500]],
  "volume_a3_per_cell": 117,
  "energy_ev_per_fu": -15.20,
  "formation_energy_kj_per_mol_atoms": 6.4,
  "crystal_system": "cubic"
}

=====

5.
{
  "formula": "SiSbRh2C",
  "functional": "PBE",
  "state": "relaxed",
  "lattice": [[-4.880, 0.030, 0.608], [-0.471, -1.595, -3.706], [0.212, -4.523, 1.920]],
  "species": ["Sb", "Si", "Rh", "Rh", "C"],
  "fractional_positions": [[0.000, 0.000, 0.000], [0.500, 0.500, 0.500], [0.000, 0.000, 0.500], [0.500, 0.000, 0.000], [0.000, 0.500, 0.000]],
  "volume_a3_per_cell": 98,
  "relative_energy_mev_per_atom": 0.0,
  "energy_ev_per_fu": -25.15,
  "crystal_system": "tetragonal"
}

=====

6.
{
  "formula": "LaTl4",
  "functional": "PBE",
  "state": "relaxed",
  "lattice": [[-1.087, -0.024, -6.086], [5.821, -1.809, -1.032], [-1.777, -5.912, 0.341]],
  "species": ["Tl", "Tl", "Tl", "Tl", "La"],
  "fractional_positions": [[0.000, 0.000, 0.000], [0.500, 0.000, 0.500], [0.000, 0.500, 0.500], [0.500, 0.500, 0.000], [0.500, 0.500, 0.500]],
  "volume_a3_per_cell": 236,
  "relative_energy_mev_per_atom": 680.8,
  "energy_ev_per_fu": -12.11,
  "formation_energy_kj_per_mol_atoms": 44.1,
  "crystal_system": "cubic"
}